Material: Ce4S5F
Method: DFT, PBE
State: relaxed

Unit cell a=3.9866 b=7.4236 c=9.6536 alpha=112.71 beta=101.92 gamma=90.00
Site moments in Bohr magnetons follow the coordinates.
Sites, in units of the cell vectors:
Ce (0.2792, 0.7794, 0.5584)  0.94
Ce (0.0000, 0.2411, 0.0000)  1.03
Ce (0.0000, 0.7589, 0.0000)  1.03
Ce (0.7208, 0.2206, 0.4416)  0.94
S (0.5000, 0.5000, 0.0000)  -0.03
S (0.1623, 0.3979, 0.3247)  -0.03
S (0.8377, 0.0740, 0.6753)  -0.03
S (0.1623, 0.9260, 0.3247)  -0.03
S (0.8377, 0.6021, 0.6753)  -0.03
F (0.5000, 0.0000, 0.0000)  0.00

## Properties
ΔE_f (raw) ... -2.061 eV/atom